Entry 1:
A relaxed Tb5Y2HoEr crystal. Source: the Alexandria database, functional PBE.

The space group is Cmc2_1 (No. 36) and the conventional cell measures 5.601, 19.861 and 10.585 Å, with angles of 90.00, 90.00 and 90.00 degrees. The asymmetric unit holds Tb at (0.000, 0.019, 0.000), Tb at (0.000, 0.282, 0.285), Tb at (0.000, 0.299, 0.684), Tb at (0.000, 0.391, 0.999), Tb at (0.000, 0.480, 0.717), Y at (0.000, 0.110, 0.714), Y at (0.000, 0.114, 0.294), Ho at (0.000, 0.201, 0.987) and Er at (0.000, 0.412, 0.436).

Entry 2:
A relaxed TbY3Ho2Er6 crystal. Source: the Alexandria database, functional PBE.

The space group is C2/m (No. 12) and the conventional cell measures 6.122, 10.589 and 11.708 Å, with angles of 90.00, 99.98 and 90.00 degrees. The asymmetric unit holds Tb at (0.000, 0.000, 0.000), Y at (0.000, 0.167, 0.500), Y at (0.000, 0.500, 0.500), Ho at (0.000, 0.333, 0.000), Er at (0.250, 0.000, 0.751) and Er at (0.250, 0.167, 0.249).

Entry 3:
A relaxed TbYHo5Er2 crystal. Source: the Alexandria database, functional PBE.

The space group is Cmc2_1 (No. 36) and the conventional cell measures 5.567, 19.795 and 10.494 Å, with angles of 90.00, 90.00 and 90.00 degrees. The asymmetric unit holds Tb at (0.000, 0.200, 0.000), Y at (0.000, 0.413, 0.443), Ho at (0.000, 0.018, 0.013), Ho at (0.000, 0.281, 0.297), Ho at (0.000, 0.300, 0.697), Ho at (0.000, 0.391, 0.012), Ho at (0.000, 0.478, 0.726), Er at (0.000, 0.110, 0.726) and Er at (0.000, 0.113, 0.306).

Entry 4:
A relaxed Tb3YHoEr crystal. Source: the Alexandria database, functional PBE.

The space group is P-1 (No. 2) and the conventional cell measures 5.656, 6.984 and 9.583 Å, with angles of 90.00, 90.06 and 90.01 degrees. The asymmetric unit holds Tb at (0.223, 0.251, 0.082), Tb at (0.225, 0.749, 0.418), Tb at (0.277, 0.749, 0.082), Y at (0.250, 0.000, 0.749), Ho at (0.275, 0.251, 0.417) and Er at (0.250, 0.500, 0.749).

Entry 5:
A relaxed Tb6Y3Ho2Er crystal. Source: the Alexandria database, functional PBE.

The space group is C2/m (No. 12) and the conventional cell measures 6.158, 10.654 and 11.762 Å, with angles of 90.00, 99.99 and 90.00 degrees. The asymmetric unit holds Tb at (0.250, 0.000, 0.248), Tb at (0.250, 0.167, 0.752), Y at (0.000, 0.000, 0.500), Y at (0.000, 0.333, 0.500), Ho at (0.000, 0.167, 0.000) and Er at (0.000, 0.500, 0.000).

Entry 6:
A relaxed Tb2Y3HoEr6 crystal. Source: the Alexandria database, functional PBE.

The space group is C2/m (No. 12) and the conventional cell measures 6.123, 10.591 and 11.710 Å, with angles of 90.00, 99.99 and 90.00 degrees. The asymmetric unit holds Tb at (0.000, 0.167, 0.000), Y at (0.000, 0.000, 0.500), Y at (0.000, 0.333, 0.500), Ho at (0.000, 0.500, 0.000), Er at (0.250, 0.000, 0.249) and Er at (0.250, 0.167, 0.751).

Entry 7:
A relaxed Tb2Y5HoEr crystal. Source: the Alexandria database, functional PBE.

The space group is I4/mcm (No. 140) and the conventional cell measures 8.696, 8.696 and 15.332 Å, with angles of 90.00, 90.00 and 90.00 degrees. The asymmetric unit holds Tb at (0.116, 0.384, 0.000), Y at (0.000, 0.000, 0.000), Y at (0.207, 0.293, 0.363), Ho at (0.000, 0.000, 0.250) and Er at (0.000, 0.500, 0.250).

Entry 8:
A relaxed Tb2Y2HoEr2 crystal. Source: the Alexandria database, functional PBE.

The space group is R-3m (No. 166, hexagonal axes) and the conventional cell measures 5.6452, 5.6452 and 24.3544 Å, with angles of 90.00, 90.00 and 120.00 degrees. The asymmetric unit holds Tb at (0.0000, 0.0000, 0.2142), Y at (0.0000, 0.0000, 0.3584), Ho at (0.0000, 0.0000, 0.5000) and Er at (0.0000, 0.0000, 0.0708).

Entry 9:
A relaxed Tb3YHo2Er6 crystal. Source: the Alexandria database, functional PBE.

The space group is C2/m (No. 12) and the conventional cell measures 6.115, 10.578 and 11.685 Å, with angles of 90.00, 100.00 and 90.00 degrees. The asymmetric unit holds Tb at (0.000, 0.000, 0.000), Tb at (0.000, 0.333, 0.000), Y at (0.000, 0.500, 0.500), Ho at (0.000, 0.167, 0.500), Er at (0.249, 0.000, 0.750) and Er at (0.250, 0.167, 0.250).

Entry 10:
A relaxed Tb6YHo3Er2 crystal. Source: the Alexandria database, functional PBE.

The space group is C2/m (No. 12) and the conventional cell measures 6.141, 10.627 and 11.730 Å, with angles of 90.00, 99.99 and 90.00 degrees. The asymmetric unit holds Tb at (0.249, 0.167, 0.250), Tb at (0.250, 0.000, 0.750), Y at (0.000, 0.500, 0.500), Ho at (0.000, 0.000, 0.000), Ho at (0.000, 0.333, 0.000) and Er at (0.000, 0.167, 0.500).

Entry 11:
A relaxed Tb2YHo4Er2 crystal. Source: the Alexandria database, functional PBE.

The space group is C2/m (No. 12) and the conventional cell measures 18.534, 3.569 and 9.466 Å, with angles of 90.00, 115.76 and 90.00 degrees. The asymmetric unit holds Tb at (0.148, 0.000, 0.167), Y at (0.000, 0.000, 0.500), Ho at (0.019, 0.500, 0.834), Ho at (0.185, 0.000, 0.834) and Er at (0.167, 0.500, 0.501).

| no. | electronic total energy (eV per atom) |
| --- | --- |
| 1 | -4.88 |
| 2 | -5.02 |
| 3 | -4.63 |
| 4 | -4.85 |
| 5 | -5.06 |
| 6 | -5.03 |
| 7 | -5.35 |
| 8 | -4.99 |
| 9 | -4.72 |
| 10 | -4.74 |
| 11 | -4.79 |